(1)
{"formula": "Nb6HI11", "functional": "meta-GGA SCAN", "state": "single point on PBEsol structure", "lattice": [[11.294, 0.000, 0.000], [0.000, 15.519, 0.000], [0.000, 0.000, 13.469]], "species": ["Nb", "Nb", "Nb", "Nb", "Nb", "Nb", "Nb", "Nb", "Nb", "Nb", "Nb", "Nb", "Nb", "Nb", "Nb", "Nb", "Nb", "Nb", "Nb", "Nb", "Nb", "Nb", "Nb", "Nb", "H", "H", "H", "H", "I", "I", "I", "I", "I", "I", "I", "I", "I", "I", "I", "I", "I", "I", "I", "I", "I", "I", "I", "I", "I", "I", "I", "I", "I", "I", "I", "I", "I", "I", "I", "I", "I", "I", "I", "I", "I", "I", "I", "I", "I", "I", "I", "I"], "fractional_positions": [[0.071, 0.051, 0.126], [0.071, 0.449, 0.626], [0.102, 0.605, 0.525], [0.102, 0.895, 0.025], [0.135, 0.050, 0.917], [0.135, 0.450, 0.417], [0.365, 0.050, 0.417], [0.365, 0.450, 0.917], [0.398, 0.605, 0.025], [0.398, 0.895, 0.525], [0.429, 0.051, 0.626], [0.429, 0.449, 0.126], [0.571, 0.551, 0.874], [0.571, 0.949, 0.374], [0.602, 0.105, 0.475], [0.602, 0.395, 0.975], [0.635, 0.550, 0.083], [0.635, 0.950, 0.583], [0.865, 0.550, 0.583], [0.865, 0.950, 0.083], [0.898, 0.105, 0.975], [0.898, 0.395, 0.475], [0.929, 0.551, 0.374], [0.929, 0.949, 0.874], [0.000, 0.000, 0.000], [0.000, 0.500, 0.500], [0.500, 0.000, 0.500], [0.500, 0.500, 0.000], [0.026, 0.607, 0.729], [0.026, 0.893, 0.229], [0.097, 0.211, 0.021], [0.097, 0.289, 0.521], [0.158, 0.613, 0.320], [0.158, 0.887, 0.820], [0.169, 0.125, 0.305], [0.169, 0.375, 0.805], [0.197, 0.003, 0.564], [0.197, 0.497, 0.064], [0.250, 0.750, 0.077], [0.250, 0.750, 0.577], [0.303, 0.003, 0.064], [0.303, 0.497, 0.564], [0.331, 0.125, 0.805], [0.331, 0.375, 0.305], [0.342, 0.613, 0.820], [0.342, 0.887, 0.320], [0.403, 0.211, 0.521], [0.403, 0.289, 0.021], [0.474, 0.607, 0.229], [0.474, 0.893, 0.729], [0.526, 0.107, 0.271], [0.526, 0.393, 0.771], [0.597, 0.711, 0.979], [0.597, 0.789, 0.479], [0.658, 0.113, 0.680], [0.658, 0.387, 0.180], [0.669, 0.625, 0.695], [0.669, 0.875, 0.195], [0.697, 0.503, 0.436], [0.697, 0.997, 0.936], [0.750, 0.250, 0.423], [0.750, 0.250, 0.923], [0.803, 0.503, 0.936], [0.803, 0.997, 0.436], [0.831, 0.625, 0.195], [0.831, 0.875, 0.695], [0.842, 0.113, 0.180], [0.842, 0.387, 0.680], [0.903, 0.711, 0.479], [0.903, 0.789, 0.979], [0.974, 0.107, 0.771], [0.974, 0.393, 0.271]], "e_above_lowest_polymorph_ev_per_atom": 0.0000, "crystal_system": "orthorhombic", "dos_ef_per_ev_cell": 2.13, "sg": "Pccn"}


(2)
{"formula": "NbTeHI2", "functional": "meta-GGA SCAN", "state": "single point on PBEsol structure", "lattice": [[5.421, 0.000, 0.000], [0.000, 5.421, 0.000], [0.000, 0.000, 3.799]], "species": ["Nb", "Te", "H", "I", "I"], "fractional_positions": [[0.000, 0.000, 0.000], [0.500, 0.500, 0.000], [0.500, 0.500, 0.500], [0.000, 0.500, 0.500], [0.500, 0.000, 0.500]], "crystal_system": "tetragonal", "dos_ef_per_ev_cell": 2.22, "sg": "P4/mmm"}


(3)
{"formula": "NiHI3", "functional": "meta-GGA SCAN", "state": "single point on PBEsol structure", "lattice": [[4.869, 0.000, 0.000], [0.000, 4.869, 0.000], [0.000, 0.000, 4.869]], "species": ["Ni", "H", "I", "I", "I"], "fractional_positions": [[0.000, 0.000, 0.000], [0.500, 0.500, 0.500], [0.000, 0.500, 0.500], [0.500, 0.000, 0.500], [0.500, 0.500, 0.000]], "crystal_system": "cubic", "dos_ef_per_ev_cell": 7.34, "sg": "Pm-3m"}


no.,energy (eV per atom)
1,-34.240
2,-28.661
3,-24.716